The following is a DFT calculation (PBE) of a geometry-optimized CaMgRh structure.

Values from the calculation:
Symmetry   No. 107
Calculated volume   21.540 Å³ per atom
Size of the total moment   0.00 μB per formula unit
ΔE_f   -1.1 eV/f.u.
Calculated density   4299 kg/m3

abc: 6.159 6.158 3.374
angles: 74.11 74.10 31.79
Element x y z (fractional)
1 Mg 0.293 0.293 0.707
2 Rh 0.683 0.683 0.317
3 Ca 0.024 0.024 0.976

***

The following is a DFT calculation (PBE) of a geometry-optimized CaMg4Rh structure.

Values from the calculation:
Symmetry   No. 216
Calculated volume   21.638 Å³ per atom
Size of the total moment   0.00 μB per formula unit
ΔE_f   0.1 eV/f.u.
Calculated density   3072 kg/m3

abc: 5.684 5.684 5.684
angles: 60.00 60.00 60.00
Element x y z (fractional)
1 Rh 0.750 0.750 0.750
2 Mg 0.376 0.376 0.376
3 Mg 0.871 0.376 0.376
4 Ca 0.000 0.000 0.000
5 Mg 0.376 0.376 0.871
6 Mg 0.376 0.871 0.376

***

The following is a DFT calculation (PBE) of a geometry-optimized Ca2MgRh structure.

Values from the calculation:
Symmetry   No. 44
Calculated volume   27.479 Å³ per atom
Size of the total moment   0.00 μB per formula unit
ΔE_f   -1.0 eV/f.u.
Calculated density   3133 kg/m3

abc: 4.141 5.681 5.681
angles: 65.92 68.64 68.64
Element x y z (fractional)
1 Ca 0.050 0.900 0.000
2 Mg 0.250 0.178 0.322
3 Rh 0.750 0.921 0.579
4 Ca 0.450 0.500 0.600

***

The following is a DFT calculation (PBE) of a geometry-optimized Ca6MgRh2 structure.

Values from the calculation:
Symmetry   No. 71
Calculated volume   29.425 Å³ per atom
Size of the total moment   0.00 μB per formula unit
ΔE_f   -2.6 eV/f.u.
Calculated density   2951 kg/m3

abc: 9.702 8.866 8.866
angles: 66.89 56.83 56.83
Element x y z (fractional)
1 Rh 0.631 0.869 0.869
2 Rh 0.369 0.131 0.131
3 Ca 0.334 0.341 0.341
4 Mg 0.500 0.500 0.500
5 Ca 0.243 0.551 0.964
6 Ca 0.703 0.821 0.179
7 Ca 0.984 0.341 0.341
8 Ca 0.297 0.179 0.821
9 Ca 0.297 0.821 0.179
10 Ca 0.243 0.964 0.551
11 Mg 0.000 0.000 0.000
12 Ca 0.666 0.659 0.659
13 Rh 0.000 0.287 0.713
14 Ca 0.757 0.449 0.036
15 Rh 0.000 0.713 0.287
16 Ca 0.016 0.659 0.659
17 Ca 0.703 0.179 0.821
18 Ca 0.757 0.036 0.449

***

The following is a DFT calculation (PBE) of a geometry-optimized CaMgRh structure.

Values from the calculation:
Symmetry   No. 74
Calculated volume   20.969 Å³ per atom
Size of the total moment   0.00 μB per formula unit
ΔE_f   -1.1 eV/f.u.
Calculated density   4416 kg/m3

abc: 5.513 5.513 5.513
angles: 98.98 114.57 115.34
Element x y z (fractional)
1 Rh 0.500 0.500 0.000
2 Ca 0.250 0.155 0.405
3 Mg 0.000 0.500 0.000
4 Ca 0.750 0.845 0.595
5 Rh 0.000 0.500 0.500
6 Mg 0.500 0.000 0.000

***

The following is a DFT calculation (PBE) of a geometry-optimized CaMg2Rh structure.

Values from the calculation:
Symmetry   No. 12
Calculated volume   21.034 Å³ per atom
Size of the total moment   0.00 μB per formula unit
ΔE_f   -0.1 eV/f.u.
Calculated density   3781 kg/m3

abc: 5.123 5.920 3.191
angles: 76.81 84.52 114.01
Element x y z (fractional)
1 Rh 0.000 0.500 0.500
2 Ca 0.500 0.500 0.000
3 Mg 0.000 0.000 0.000
4 Mg 0.500 0.000 0.500